Density functional theory data (GGA-PBE) for a geometry-optimized SmMn2H7 structure.

Unit cell a=4.930 b=4.930 c=3.565 alpha=90.00 beta=90.00 gamma=117.16
Element x y z (fractional)
Sm1 0.000 0.000 0.000
Mn1 0.306 0.694 0.500
Mn2 0.694 0.306 0.500
H1 0.044 0.324 0.500
H2 0.306 0.694 0.000
H3 0.324 0.044 0.500
H4 0.500 0.500 0.500
H5 0.676 0.956 0.500
H6 0.694 0.306 0.000
H7 0.956 0.676 0.500

Symmetry   No. 65
Size of the total moment   3.78 μB per cell
Raw total energy   -48.0 eV per cell